Entry 1:
! SrBe4Pt | Alexandria | GGA-PBE | relaxed; values from VASP
! * Fermi-level density of states: 0.01 states/eV per atom
! * crystal system: cubic
! * energy: -22.6 eV/cell
! * volume: 13.217 Å³ per atom
! * energy of formation from the pure elements: 0.01 eV/atom
! * magnetic moment: 0.00 μB per formula unit
&SYSTEM
  ibrav = 0, nat = 6, ntyp = 3
/
ATOMIC_SPECIES
Sr 87.62 Sr.upf
Be 9.01 Be.upf
Pt 195.08 Pt.upf
CELL_PARAMETERS angstrom
0.000 3.410 3.410
3.410 0.000 3.410
3.410 3.410 0.000
ATOMIC_POSITIONS angstrom
Sr 0.000 0.000 0.000
Be 4.224 2.596 2.596
Be 2.596 4.224 2.596
Be 2.596 2.596 4.224
Be 4.224 4.224 4.224
Pt 1.705 1.705 1.705

Entry 2:
! Sr2BePt4 | Alexandria | GGA-PBE | relaxed; values from VASP
! * Fermi-level density of states: 0.34 states/eV per atom
! * crystal system: tetragonal
! * energy: -34.8 eV/cell
! * volume: 21.633 Å³ per atom
! * energy of formation from the pure elements: -0.50 eV/atom
! * magnetic moment: 0.00 μB per formula unit
&SYSTEM
  ibrav = 0, nat = 7, ntyp = 3
/
ATOMIC_SPECIES
Sr 87.62 Sr.upf
Be 9.01 Be.upf
Pt 195.08 Pt.upf
CELL_PARAMETERS angstrom
-2.211 2.211 7.747
2.211 -2.211 7.747
2.211 2.211 -7.747
ATOMIC_POSITIONS angstrom
Sr 0.000 0.000 2.389
Sr 0.000 0.000 13.104
Be 0.000 0.000 7.747
Pt 2.211 0.000 0.000
Pt 0.000 0.000 5.599
Pt 0.000 2.211 0.000
Pt 0.000 0.000 9.894